P.
Computed, not measured: Pr2ThPb after structural relaxation at the PBE level of DFT.

Geometry as CIF:
```
data_Pr2ThPb
_chemical_formula_sum 'Pr6 Th3 Pb3'
_symmetry_space_group_name_H-M 'R -3 m'
_symmetry_Int_Tables_number 166
_symmetry_space_group_name_Hall '-R 3 2"'
_cell_length_a 3.6324
_cell_length_b 3.6324
_cell_length_c 36.9066
_cell_angle_alpha 90.00
_cell_angle_beta 90.00
_cell_angle_gamma 120.00
loop_
_atom_site_label
_atom_site_type_symbol
_atom_site_fract_x
_atom_site_fract_y
_atom_site_fract_z
Pr1 Pr 0.0000 0.0000 0.0893
Th1 Th 0.0000 0.0000 0.5000
Pb1 Pb 0.0000 0.0000 0.0000
```

Properties
mass density	8.5	g cm⁻³
D(E_F)	0.914	states/eV per atom

---

Q.
Computed, not measured: Pr2ThPb after structural relaxation at the PBE level of DFT.

Geometry as CIF:
```
data_Pr2ThPb
_chemical_formula_sum 'Pr2 Th1 Pb1'
_symmetry_space_group_name_H-M 'P 4/m m m'
_symmetry_Int_Tables_number 123
_symmetry_space_group_name_Hall '-P 4 2'
_cell_length_a 4.141
_cell_length_b 4.141
_cell_length_c 7.398
_cell_angle_alpha 90.00
_cell_angle_beta 90.00
_cell_angle_gamma 90.00
loop_
_atom_site_label
_atom_site_type_symbol
_atom_site_fract_x
_atom_site_fract_y
_atom_site_fract_z
Pr1 Pr 0.000 0.000 0.224
Th1 Th 0.500 0.500 0.500
Pb1 Pb 0.500 0.500 0.000
```

Properties
mass density	9.4	g cm⁻³
D(E_F)	1.641	states/eV per atom

---

R.
Computed, not measured: Pr2ThPb after structural relaxation at the PBE level of DFT.

Geometry as CIF:
```
data_Pr2ThPb
_chemical_formula_sum 'Pr2 Th1 Pb1'
_symmetry_space_group_name_H-M 'P 4/m m m'
_symmetry_Int_Tables_number 123
_symmetry_space_group_name_Hall '-P 4 2'
_cell_length_a 5.068
_cell_length_b 5.068
_cell_length_c 4.896
_cell_angle_alpha 90.00
_cell_angle_beta 90.00
_cell_angle_gamma 90.00
loop_
_atom_site_label
_atom_site_type_symbol
_atom_site_fract_x
_atom_site_fract_y
_atom_site_fract_z
Pr1 Pr 0.000 0.500 0.000
Th1 Th 0.000 0.000 0.500
Pb1 Pb 0.500 0.500 0.500
```

Properties
mass density	9.5	g cm⁻³
D(E_F)	0.760	states/eV per atom

---

Which of them is the least stable? Correct choice: P.

---

P.
Computed, not measured: Pr3Tl2Pb after structural relaxation at the PBE level of DFT.

Geometry as CIF:
```
data_Pr3Tl2Pb
_chemical_formula_sum 'Pr12 Tl8 Pb4'
_symmetry_space_group_name_H-M 'C 1 2/c 1'
_symmetry_Int_Tables_number 15
_symmetry_space_group_name_Hall '-C 2yc'
_cell_length_a 16.900
_cell_length_b 6.697
_cell_length_c 6.705
_cell_angle_alpha 90.00
_cell_angle_beta 102.36
_cell_angle_gamma 90.00
loop_
_atom_site_label
_atom_site_type_symbol
_atom_site_fract_x
_atom_site_fract_y
_atom_site_fract_z
Pr1 Pr 0.000 0.136 0.250
Pr2 Pr 0.171 0.381 0.598
Tl1 Tl 0.165 0.119 0.058
Pb1 Pb 0.000 0.363 0.750
```

Properties
mass density	9.3	g cm⁻³
D(E_F)	0.633	states/eV per atom

---

Q.
Computed, not measured: Pr3Tl2Pb after structural relaxation at the PBE level of DFT.

Geometry as CIF:
```
data_Pr3Tl2Pb
_chemical_formula_sum 'Pr6 Tl4 Pb2'
_symmetry_space_group_name_H-M 'P m m n'
_symmetry_Int_Tables_number 59
_cell_length_a 5.237
_cell_length_b 15.690
_cell_length_c 4.453
_cell_angle_alpha 90.00
_cell_angle_beta 90.00
_cell_angle_gamma 90.00
loop_
_symmetry_equiv_pos_as_xyz
'x,y,z'
'-x,-y,-z'
'-x+1/2,-y+1/2,z'
'x+1/2,y+1/2,-z'
'x+1/2,-y,-z'
'-x+1/2,y,z'
'-x,y+1/2,-z'
'x,-y+1/2,z'
loop_
_atom_site_label
_atom_site_type_symbol
_atom_site_fract_x
_atom_site_fract_y
_atom_site_fract_z
Pr1 Pr 0.250 0.084 0.000
Pr2 Pr 0.250 0.750 0.001
Tl1 Tl 0.250 0.580 0.500
Pb1 Pb 0.250 0.250 0.499
```

Properties
mass density	9.4	g cm⁻³
D(E_F)	0.797	states/eV per atom

---

Which of them is the least stable? Correct choice: P.

---

P.
Computed, not measured: Pr2TlPb2 after structural relaxation at the PBE level of DFT.

Geometry as CIF:
```
data_Pr2TlPb2
_chemical_formula_sum 'Pr4 Tl2 Pb4'
_symmetry_space_group_name_H-M 'P 4/m b m'
_symmetry_Int_Tables_number 127
_symmetry_space_group_name_Hall '-P 4 2ab'
_cell_length_a 8.332
_cell_length_b 8.332
_cell_length_c 4.588
_cell_angle_alpha 90.00
_cell_angle_beta 90.00
_cell_angle_gamma 90.00
loop_
_atom_site_label
_atom_site_type_symbol
_atom_site_fract_x
_atom_site_fract_y
_atom_site_fract_z
Pr1 Pr 0.176 0.324 0.000
Tl1 Tl 0.000 0.000 0.500
Pb1 Pb 0.128 0.628 0.500
```

Properties
mass density	9.4	g cm⁻³
D(E_F)	0.573	states/eV per atom

---

Q.
Computed, not measured: Pr2TlPb2 after structural relaxation at the PBE level of DFT.

Geometry as CIF:
```
data_Pr2TlPb2
_chemical_formula_sum 'Pr4 Tl2 Pb4'
_symmetry_space_group_name_H-M 'C m m m'
_symmetry_Int_Tables_number 65
_symmetry_space_group_name_Hall '-C 2 2'
_cell_length_a 4.723
_cell_length_b 15.617
_cell_length_c 4.598
_cell_angle_alpha 90.00
_cell_angle_beta 90.00
_cell_angle_gamma 90.00
loop_
_atom_site_label
_atom_site_type_symbol
_atom_site_fract_x
_atom_site_fract_y
_atom_site_fract_z
Pr1 Pr 0.000 0.149 0.000
Tl1 Tl 0.000 0.500 0.000
Pb1 Pb 0.000 0.328 0.500
```

Properties
mass density	8.8	g cm⁻³
D(E_F)	0.952	states/eV per atom

---

Which of them is the least stable? Correct choice: Q.

---

P.
Computed, not measured: Pr6Tl2Pb after structural relaxation at the PBE level of DFT.

Geometry as CIF:
```
data_Pr6Tl2Pb
_chemical_formula_sum 'Pr12 Tl4 Pb2'
_symmetry_space_group_name_H-M 'C 1 2/m 1'
_symmetry_Int_Tables_number 12
_symmetry_space_group_name_Hall '-C 2y'
_cell_length_a 17.058
_cell_length_b 7.611
_cell_length_c 5.411
_cell_angle_alpha 90.00
_cell_angle_beta 108.44
_cell_angle_gamma 90.00
loop_
_atom_site_label
_atom_site_type_symbol
_atom_site_fract_x
_atom_site_fract_y
_atom_site_fract_z
Pr1 Pr 0.000 0.247 0.000
Pr2 Pr 0.168 0.247 0.668
Tl1 Tl 0.167 0.000 0.167
Pb1 Pb 0.000 0.500 0.500
```

Properties
mass density	7.3	g cm⁻³
D(E_F)	1.590	states/eV per atom

---

Q.
Computed, not measured: Pr6Tl2Pb after structural relaxation at the PBE level of DFT.

Geometry as CIF:
```
data_Pr6Tl2Pb
_chemical_formula_sum 'Pr6 Tl2 Pb1'
_symmetry_space_group_name_H-M 'P -6 2 m'
_symmetry_Int_Tables_number 189
_symmetry_space_group_name_Hall 'P -6 -2'
_cell_length_a 8.8239
_cell_length_b 8.8239
_cell_length_c 4.4209
_cell_angle_alpha 90.00
_cell_angle_beta 90.00
_cell_angle_gamma 120.00
loop_
_atom_site_label
_atom_site_type_symbol
_atom_site_fract_x
_atom_site_fract_y
_atom_site_fract_z
Pr1 Pr 0.0000 0.2771 0.0000
Pr2 Pr 0.0000 0.6032 0.5000
Tl1 Tl 0.3333 0.6667 0.0000
Pb1 Pb 0.0000 0.0000 0.5000
```

Properties
mass density	8.1	g cm⁻³
D(E_F)	1.514	states/eV per atom

---

Which of them is the least stable? Correct choice: P.

---

P.
Computed, not measured: PrTlPb2 after structural relaxation at the PBE level of DFT.

Geometry as CIF:
```
data_PrTlPb2
_chemical_formula_sum 'Pr1 Tl1 Pb2'
_symmetry_space_group_name_H-M 'P 4/m m m'
_symmetry_Int_Tables_number 123
_symmetry_space_group_name_Hall '-P 4 2'
_cell_length_a 4.308
_cell_length_b 4.308
_cell_length_c 6.729
_cell_angle_alpha 90.00
_cell_angle_beta 90.00
_cell_angle_gamma 90.00
loop_
_atom_site_label
_atom_site_type_symbol
_atom_site_fract_x
_atom_site_fract_y
_atom_site_fract_z
Pr1 Pr 0.000 0.000 0.000
Tl1 Tl 0.000 0.000 0.500
Pb1 Pb 0.500 0.500 0.242
```

Properties
mass density	10.1	g cm⁻³
D(E_F)	1.093	states/eV per atom

---

Q.
Computed, not measured: PrTlPb2 after structural relaxation at the PBE level of DFT.

Geometry as CIF:
```
data_PrTlPb2
_chemical_formula_sum 'Pr3 Tl3 Pb6'
_symmetry_space_group_name_H-M 'R -3 m'
_symmetry_Int_Tables_number 166
_symmetry_space_group_name_Hall '-R 3 2"'
_cell_length_a 3.5339
_cell_length_b 3.5339
_cell_length_c 37.1437
_cell_angle_alpha 90.00
_cell_angle_beta 90.00
_cell_angle_gamma 120.00
loop_
_atom_site_label
_atom_site_type_symbol
_atom_site_fract_x
_atom_site_fract_y
_atom_site_fract_z
Pr1 Pr 0.0000 0.0000 0.0000
Tl1 Tl 0.0000 0.0000 0.5000
Pb1 Pb 0.0000 0.0000 0.0890
```

Properties
mass density	9.4	g cm⁻³
D(E_F)	0.833	states/eV per atom

---

Which of them is the least stable? Correct choice: Q.